[1]
VASP calculation (PBE) on crystalline Th3Cu4Pd2 at its relaxed geometry.

The calculation puts the energy of formation at -428 meV per atom.

It has space group C2/m (No. 12), with a = 10.5257 Å, b = 4.4111 Å, c = 8.4864 Å, α = 90.00°, β = 111.94° and γ = 90.00°. Symmetry generates all atoms from Th at (0.0000, 0.0000, 0.0000), Th at (0.1687, 0.5000, 0.6655), Cu at (0.0495, 0.0000, 0.3912), Cu at (0.2258, 0.5000, 0.0487) and Pd at (0.1111, 0.5000, 0.2738).



[2]
VASP calculation (PBE) on crystalline ThCu6Pd6 at its relaxed geometry.

The calculation puts the energy of formation at -366 meV per atom.

It has space group Immm (No. 71), with a = 5.0644 Å, b = 8.6321 Å, c = 8.9095 Å, α = 90.00°, β = 90.00° and γ = 90.00°. Symmetry generates all atoms from Th at (0.0000, 0.0000, 0.0000), Cu at (0.0000, 0.5000, 0.2603), Cu at (0.2500, 0.2500, 0.2500), Pd at (0.0000, 0.0000, 0.3456), Pd at (0.0000, 0.3096, 0.5000) and Pd at (0.0000, 0.3403, 0.0000).



[3]
VASP calculation (PBE) on crystalline Th6CuPd at its relaxed geometry.

The calculation puts the energy of formation at -176 meV per atom.

It has space group I4/mmm (No. 139), with a = 5.1292 Å, b = 5.1292 Å, c = 17.0790 Å, α = 90.00°, β = 90.00° and γ = 90.00°. Symmetry generates all atoms from Th at (0.0000, 0.0000, 0.2503), Th at (0.0000, 0.5000, 0.1052), Cu at (0.0000, 0.0000, 0.0000) and Pd at (0.0000, 0.0000, 0.5000).



| no. | size of the total moment (μB/f.u.) |
| --- | --- |
| 1 | 0.00 |
| 2 | 0.00 |
| 3 | 0.00 |